ScMn2Co after structural relaxation. Source: the Alexandria database, functional GGA-PBE.

Spin magnetization   7.3 μB/cell
ΔE_f   0.113 eV per atom
Distance to the lowest polymorph of the same formula   160 meV/atom

Cell lengths 4.3141, 4.3141, 4.3141 Å; angles 60.00, 60.00, 60.00 degrees
Last column: nearest neighbours and their distance in Å.
Element x y z (fractional)
Co  0.5000  0.5000  0.5000  8 Mn 2.64
Mn  0.7500  0.7500  0.7500  4 Co 2.64, 4 Sc 2.64
Mn  0.2500  0.2500  0.2500  4 Co 2.64, 4 Sc 2.64
Sc  0.0000  0.0000  0.0000  8 Mn 2.64